Compound: KZrTe2AuSe
Source: the Open Quantum Materials Database
Functional: PBE-GGA
Structure: optimized geometry

Properties
Its space group is Cmcm (63). The value obtained for the total energy is -4.598 eV/atom. The value obtained for the total moment is 0.01 μB/cell. The volume is 29.0 A^3/atom.

Structure (extended XYZ):
```
12
Lattice="-1.072 6.090 5.245 0.157 -7.937 -1.652 10.421 -0.313 2.493" Properties=species:S:1:pos:R:3 pbc="T T T"
Zr -0.458 -0.923 1.797
Zr 4.753 -1.080 3.043
Au 6.790 5.320 6.852
Au 2.716 -7.480 -0.766
Se 7.276 -0.222 4.127
Se 2.230 -1.938 1.959
Te 4.815 -6.221 0.416
Te 9.122 3.928 6.730
Te 0.384 -6.088 -0.644
Te 4.691 4.061 5.670
K 1.838 2.529 4.156
K 7.668 -4.689 1.930
```